The following is a DFT calculation (GGA-PBE) of a relaxed structure of ScVFe2Os.

The structure belongs to space group P4/mmm (No. 123); the cell edges are 4.3102, 4.3102 and 4.6933 Å and the angles 90.00°, 90.00° and 90.00°. The distinct sites, in fractional coordinates, are Sc at (0.0000, 0.0000, 0.0000), V at (0.5000, 0.5000, 0.5000), Fe at (0.0000, 0.5000, 0.0000) and Os at (0.0000, 0.0000, 0.5000).

The energy relative to the elements is 1617 meV per atom. The calculation puts the electronic total energy at -7.104 eV/atom. As for the total moment: 0.398 μB per atom. The value obtained for the volume is 87 Å³ per cell.